Density functional theory data (meta-GGA SCAN) for a PBEsol-optimized structure of Hg2Te2Br.

Cell lengths 4.352, 4.352, 8.129 Å; angles 105.52, 105.52, 90.00 degrees
Element x y z (fractional)
Hg  0.590  0.590  0.180
Hg  0.410  0.410  0.820
Te  0.250  0.750  0.500
Te  0.750  0.250  0.500
Br  0.000  0.000  0.000

Properties
**Raw formation energy**: 0.031 eV/atom
**Crystal system**: tetragonal
**Space group**: I4/mmm, No. 139